# 1
# YP2Pb GGA-PBE relaxed
# Uncorrected energy: -5.714 eV per atom
data_YP2Pb
_chemical_formula_sum 'Y2 P4 Pb2'
_cell_length_a 3.7987
_cell_length_b 3.8599
_cell_length_c 13.1934
_cell_angle_alpha 90.00
_cell_angle_beta 90.00
_cell_angle_gamma 90.00
_symmetry_space_group_name_H-M 'I m m 2'
_symmetry_Int_Tables_number 44
_symmetry_space_group_name_Hall 'I 2 -2'
loop_
_atom_site_label
_atom_site_fract_x
_atom_site_fract_y
_atom_site_fract_z
Y1 0.0000 0.0000 0.0000
P1 0.0000 0.0000 0.4398
P2 0.0000 0.5000 0.6627
Pb1 0.0000 0.5000 0.2539

# 2
# Y3PPb GGA-PBE relaxed
# Relative energy among the computed polymorphs: 0.169 eV/atom
data_Y3PPb
_chemical_formula_sum 'Y6 P2 Pb2'
_cell_length_a 5.3779
_cell_length_b 5.4432
_cell_length_c 9.9048
_cell_angle_alpha 90.00
_cell_angle_beta 91.27
_cell_angle_gamma 90.00
_symmetry_space_group_name_H-M 'P 1 21/m 1'
_symmetry_Int_Tables_number 11
_symmetry_space_group_name_Hall '-P 2yb'
loop_
_atom_site_label
_atom_site_fract_x
_atom_site_fract_y
_atom_site_fract_z
Y1 0.0044 0.2500 0.1381
Y2 0.1359 0.7500 0.4114
Y3 0.4862 0.2500 0.8597
P1 0.0128 0.7500 0.1420
Pb1 0.4781 0.2500 0.3381

# 3
# YPPb GGA-PBE relaxed
# Relative energy among the computed polymorphs: 0.130 eV/atom
data_YPPb
_chemical_formula_sum 'Y4 P4 Pb4'
_cell_length_a 5.5864
_cell_length_b 8.3685
_cell_length_c 6.1682
_cell_angle_alpha 90.00
_cell_angle_beta 90.00
_cell_angle_gamma 90.00
_symmetry_space_group_name_H-M 'C m c m'
_symmetry_Int_Tables_number 63
_symmetry_space_group_name_Hall '-C 2c 2'
loop_
_atom_site_label
_atom_site_fract_x
_atom_site_fract_y
_atom_site_fract_z
Y1 0.0000 0.1505 0.2500
P1 0.0000 0.1934 0.7500
Pb1 0.0000 0.5000 0.0000

# 4
# Y3PPb GGA-PBE relaxed
# Relative energy among the computed polymorphs: 0.078 eV/atom
data_Y3PPb
_chemical_formula_sum 'Y12 P4 Pb4'
_cell_length_a 5.3895
_cell_length_b 24.9968
_cell_length_c 4.1139
_cell_angle_alpha 90.00
_cell_angle_beta 90.00
_cell_angle_gamma 90.00
_symmetry_space_group_name_H-M 'I m m 2'
_symmetry_Int_Tables_number 44
_symmetry_space_group_name_Hall 'I 2 -2'
loop_
_atom_site_label
_atom_site_fract_x
_atom_site_fract_y
_atom_site_fract_z
Y1 0.0000 0.0000 0.0000
Y2 0.0000 0.1273 0.4993
Y3 0.0000 0.2804 0.4993
Y4 0.0000 0.5000 0.0002
P1 0.0000 0.2051 0.9992
Pb1 0.0000 0.4067 0.5002

Number 1: DOS(E_F) 3.56 states/eV/cell. Number 2: DOS(E_F) 4.84 states/eV/cell. Number 3: DOS(E_F) 5.92 states/eV/cell. Number 4: DOS(E_F) 29.78 states/eV/cell.